#w
Below is MgTc2Au after structural relaxation, with properties calculated at the PBE-GGA level.

Unit cell a=4.7402 b=4.7402 c=4.7402 alpha=128.79 beta=128.79 gamma=75.35
With the nearest neighbours (Å) after each atom.
Fractional coordinates of all 4 atoms:
Tc: 0.0000 0.0000 0.0000  4 Mg 2.78, 4 Tc 2.78, 4 Au 2.90
Mg: 0.7500 0.2500 0.5000  8 Tc 2.78-2.90, 4 Au 2.78
Tc: 0.2500 0.7500 0.5000  4 Au 2.78, 4 Tc 2.78, 4 Mg 2.90
Au: 0.5000 0.5000 0.0000  8 Tc 2.78-2.90, 4 Mg 2.78

Crystal system ... tetragonal
DOS(E_F) ... 3.69 states/eV per cell


#x
Below is MgTc2Au after structural relaxation, with properties calculated at the PBE-GGA level.

Unit cell a=5.3702 b=5.3702 c=5.3702 alpha=144.07 beta=134.91 gamma=58.95
With the nearest neighbours (Å) after each atom.
Fractional coordinates of all 4 atoms:
Tc: 0.5017 0.5017 0.0000  4 Tc 2.64, 2 Au 2.85, 2 Mg 2.88
Au: 0.7500 0.2500 0.5000  4 Mg 2.64, 4 Tc 2.85
Mg: 0.2500 0.7500 0.5000  4 Au 2.64, 4 Tc 2.88
Tc: 0.9983 0.9983 0.0000  4 Tc 2.64, 2 Au 2.85, 2 Mg 2.88

Crystal system ... orthorhombic
DOS(E_F) ... 3.95 states/eV per cell


#y
Below is MgTc2Au after structural relaxation, with properties calculated at the PBE-GGA level.

Unit cell a=7.5759 b=7.5759 c=5.9178 alpha=50.20 beta=50.20 gamma=90.00
With the nearest neighbours (Å) after each atom.
Fractional coordinates of all 8 atoms:
Au: 0.7500 0.2500 0.5000  2 Mg 2.51, 4 Tc 2.67
Au: 0.0000 0.0000 0.0000  2 Mg 2.51, 4 Tc 2.67
Tc: 0.3750 0.3582 0.7500  2 Tc 2.53, 2 Au 2.67
Tc: 0.1082 0.6250 0.2500  2 Tc 2.53, 2 Au 2.67
Mg: 0.5000 0.5000 0.0000  2 Au 2.51
Tc: 0.8750 0.8918 0.7500  2 Tc 2.53, 2 Au 2.67
Mg: 0.2500 0.7500 0.5000  2 Au 2.51
Tc: 0.6418 0.1250 0.2500  2 Tc 2.53, 2 Au 2.67

Crystal system ... tetragonal
DOS(E_F) ... 8.64 states/eV per cell


Relative energies, in meV/atom, with the most stable structure set to zero: #w 0; #x 17; #y 617.


#w
Below is MgTc2Au after structural relaxation, with properties calculated at the PBE-GGA level.

Unit cell a=2.9801 b=2.9801 c=7.4139 alpha=90.00 beta=90.00 gamma=90.00
With the nearest neighbours (Å) after each atom.
Fractional coordinates of all 4 atoms:
Mg: 0.5000 0.5000 0.7577  4 Au 2.84, 4 Tc 2.89, 4 Mg 2.98
Tc: 0.5000 0.5000 0.2157  4 Tc 2.54
Tc: 0.0000 0.0000 0.0253  4 Tc 2.54
Au: 0.0000 0.0000 0.5014  4 Mg 2.84, 4 Au 2.98, 4 Tc 2.99

Crystal system ... tetragonal
DOS(E_F) ... 2.57 states/eV per cell


#x
Below is MgTc2Au after structural relaxation, with properties calculated at the PBE-GGA level.

Unit cell a=4.4828 b=4.4828 c=4.4828 alpha=60.00 beta=60.00 gamma=60.00
With the nearest neighbours (Å) after each atom.
Fractional coordinates of all 4 atoms:
Tc: 0.2500 0.2500 0.2500  4 Au 2.75, 4 Mg 2.75
Au: 0.5000 0.5000 0.5000  8 Tc 2.75
Tc: 0.7500 0.7500 0.7500  4 Mg 2.75, 4 Au 2.75
Mg: 0.0000 0.0000 0.0000  8 Tc 2.75

Crystal system ... cubic
DOS(E_F) ... 5.73 states/eV per cell


Relative energies, in meV/atom, with the most stable structure set to zero: #w 0; #x 576.


#w
Below is MgTcAu2 after structural relaxation, with properties calculated at the PBE-GGA level.

Unit cell a=2.7950 b=4.1622 c=5.8449 alpha=90.00 beta=90.00 gamma=90.00
With the nearest neighbours (Å) after each atom.
Fractional coordinates of all 4 atoms:
Au: 0.0000 0.0000 0.9809  6 Au 2.79-3.01, 4 Tc 2.82, 2 Mg 2.84-3.00
Mg: 0.0000 0.0000 0.4944  2 Mg 2.79, 6 Au 2.84-3.00, 4 Tc 2.94
Au: 0.5000 0.5000 0.2666  6 Au 2.79-3.01, 4 Mg 2.84, 2 Tc 2.87-2.97
Tc: 0.5000 0.5000 0.7582  2 Tc 2.79, 6 Au 2.82-2.97, 4 Mg 2.94

Crystal system ... orthorhombic
DOS(E_F) ... 3.97 states/eV per cell


#x
Below is MgTcAu2 after structural relaxation, with properties calculated at the PBE-GGA level.

Unit cell a=5.7026 b=5.7026 c=5.7026 alpha=151.35 beta=129.02 gamma=59.53
With the nearest neighbours (Å) after each atom.
Fractional coordinates of all 4 atoms:
Mg: 0.5016 0.5016 0.0000  6 Au 2.81-2.83, 2 Mg 2.82, 2 Tc 2.88
Tc: 0.2483 0.7483 0.5000  6 Au 2.81-2.83, 2 Tc 2.82, 2 Mg 2.88
Au: 0.0032 0.0032 0.0000  2 Tc 2.81, 4 Au 2.82-2.90, 4 Mg 2.83
Au: 0.7469 0.2469 0.5000  2 Mg 2.81, 4 Au 2.82-2.90, 4 Tc 2.83

Crystal system ... orthorhombic
DOS(E_F) ... 2.90 states/eV per cell


Relative energies, in meV/atom, with the most stable structure set to zero: #w 8; #x 0.


#w
Below is MgTcAu2 after structural relaxation, with properties calculated at the PBE-GGA level.

Unit cell a=6.4586 b=5.0559 c=2.7740 alpha=90.01 beta=64.55 gamma=121.38
With the nearest neighbours (Å) after each atom.
Fractional coordinates of all 4 atoms:
Au: 0.0000 0.0000 0.0000  4 Au 2.77-2.92, 4 Mg 2.88, 4 Tc 2.88
Mg: 0.0000 0.5000 0.5000  2 Mg 2.77, 8 Au 2.88, 2 Tc 2.92
Au: 0.5000 0.0000 0.5000  4 Au 2.77-2.92, 4 Tc 2.88, 4 Mg 2.88
Tc: 0.5000 0.5000 0.0000  2 Tc 2.77, 8 Au 2.88, 2 Mg 2.92

Crystal system ... orthorhombic
DOS(E_F) ... 1.62 states/eV per cell


#x
Below is MgTcAu2 after structural relaxation, with properties calculated at the PBE-GGA level.

Unit cell a=9.4879 b=9.4879 c=9.4879 alpha=17.59 beta=17.59 gamma=17.59
With the nearest neighbours (Å) after each atom.
Fractional coordinates of all 4 atoms:
Au: 0.0033 0.0033 0.0033  3 Tc 2.82, 9 Au 2.90-3.01
Tc: 0.7508 0.7508 0.7508  3 Au 2.82, 3 Mg 2.82, 6 Tc 2.90
Mg: 0.4986 0.4986 0.4986  3 Tc 2.82, 3 Au 2.85, 6 Mg 2.90
Au: 0.2474 0.2474 0.2474  3 Mg 2.85, 9 Au 2.90-3.01

Crystal system ... trigonal
DOS(E_F) ... 3.28 states/eV per cell


Relative energies, in meV/atom, with the most stable structure set to zero: #w 0; #x 155.


#w
Below is MgTcAu2 after structural relaxation, with properties calculated at the PBE-GGA level.

Unit cell a=4.7556 b=4.7556 c=3.0240 alpha=90.00 beta=90.00 gamma=90.00
With the nearest neighbours (Å) after each atom.
Fractional coordinates of all 4 atoms:
Mg: 0.5000 0.0000 0.5000  8 Au 2.82, 2 Mg 3.02
Au: 0.0000 0.0000 0.0000  4 Tc 2.82, 4 Mg 2.82, 2 Au 3.02
Au: 0.5000 0.5000 0.0000  4 Tc 2.82, 4 Mg 2.82, 2 Au 3.02
Tc: 0.0000 0.5000 0.5000  8 Au 2.82, 2 Tc 3.02

Crystal system ... tetragonal
DOS(E_F) ... 3.10 states/eV per cell


#x
Below is MgTcAu2 after structural relaxation, with properties calculated at the PBE-GGA level.

Unit cell a=9.3742 b=9.3742 c=9.3742 alpha=17.84 beta=17.84 gamma=17.84
With the nearest neighbours (Å) after each atom.
Fractional coordinates of all 4 atoms:
Tc: 0.7500 0.7500 0.7500  6 Au 2.85, 6 Tc 2.91
Au: 0.0000 0.0000 0.0000  3 Tc 2.85, 3 Mg 2.85, 6 Au 2.91
Mg: 0.2500 0.2500 0.2500  6 Au 2.85, 6 Mg 2.91
Au: 0.5000 0.5000 0.5000  3 Tc 2.85, 3 Mg 2.85, 6 Au 2.91

Crystal system ... trigonal
DOS(E_F) ... 3.74 states/eV per cell


Relative energies, in meV/atom, with the most stable structure set to zero: #w 0; #x 84.


#w
Below is MgTcAu2 after structural relaxation, with properties calculated at the PBE-GGA level.

Unit cell a=3.9816 b=3.9816 c=9.9156 alpha=78.42 beta=78.42 gamma=90.00
With the nearest neighbours (Å) after each atom.
Fractional coordinates of all 8 atoms:
Tc: 0.0000 0.0000 0.0000  4 Au 2.76, 4 Mg 2.82
Mg: 0.5000 0.5000 0.0000  4 Au 2.76, 4 Tc 2.82
Au: 0.6241 0.1250 0.2500  2 Mg 2.76, 2 Tc 2.76, 4 Au 2.81-2.82
Au: 0.1259 0.6250 0.2500  2 Mg 2.76, 2 Tc 2.76, 4 Au 2.81-2.82
Au: 0.8750 0.8741 0.7500  2 Mg 2.76, 2 Tc 2.76, 4 Au 2.81-2.82
Au: 0.3750 0.3759 0.7500  2 Mg 2.76, 2 Tc 2.76, 4 Au 2.81-2.82
Tc: 0.7500 0.2500 0.5000  4 Au 2.76, 4 Mg 2.82
Mg: 0.2500 0.7500 0.5000  4 Au 2.76, 4 Tc 2.82

Crystal system ... tetragonal
DOS(E_F) ... 5.30 states/eV per cell


#x
Below is MgTcAu2 after structural relaxation, with properties calculated at the PBE-GGA level.

Unit cell a=4.9930 b=4.9930 c=4.9930 alpha=131.16 beta=131.16 gamma=71.56
With the nearest neighbours (Å) after each atom.
Fractional coordinates of all 4 atoms:
Mg: 0.5000 0.5000 0.0000  4 Tc 2.89, 8 Au 2.89-2.92
Tc: 0.7500 0.2500 0.5000  4 Mg 2.89, 8 Au 2.89-2.92
Au: 0.2500 0.7500 0.5000  4 Au 2.89, 4 Mg 2.89, 4 Tc 2.92
Au: 0.0000 0.0000 0.0000  4 Au 2.89, 4 Tc 2.89, 4 Mg 2.92

Crystal system ... tetragonal
DOS(E_F) ... 2.84 states/eV per cell


Relative energies, in meV/atom, with the most stable structure set to zero: #w 349; #x 0.